# PmNd4Sb5

A geometry-optimized PmNd4Sb5 structure (PBE, OQMD via LeMat-Bulk).

Computed properties:
- Calculated volume: 325.2 Å³/cell
- Raw total energy: -5.63 eV/atom

Unit cell a=16.280 b=16.280 c=16.280 alpha=164.06 beta=164.06 gamma=22.61
Fractional positions:
Nd (0.200, 0.200, 0.000)
Nd (0.400, 0.400, 0.000)
Nd (0.600, 0.600, 0.000)
Nd (0.800, 0.800, 0.000)
Pm (0.000, 0.000, 0.000)
Sb (0.100, 0.100, 0.000)
Sb (0.300, 0.300, 0.000)
Sb (0.500, 0.500, 0.000)
Sb (0.700, 0.700, 0.000)
Sb (0.900, 0.900, 0.000)